# 1
Ce5PuHg | PBE | relaxed

Lattice parameters (Å, degrees): 6.1612 6.1612 11.0136 96.41 107.59 105.09
With the nearest neighbours (Å) after each atom.
Element x y z (fractional)
Pu 0.5000 0.0000 0.5000  6 Ce 2.45-2.72
Ce 0.8575 0.1687 0.4463  1 Pu 2.45
Ce 0.7776 0.5888 0.9463  1 Pu 2.45
Ce 0.4679 0.6156 0.3942  1 Pu 2.45
Ce 0.2787 0.9263 0.8942  1 Pu 2.45
Pu 0.0000 0.0000 0.0000  6 Ce 2.45-2.72
Ce 0.2224 0.4112 0.0537  1 Pu 2.45
Hg 0.8241 0.5741 0.2500  7 Ce 3.12-3.49
Ce 0.2436 0.9936 0.2500  2 Pu 2.72
Ce 0.1425 0.8313 0.5537  1 Pu 2.45
Ce 0.7564 0.0064 0.7500  2 Pu 2.72
Ce 0.5321 0.3844 0.6058  1 Pu 2.45
Ce 0.7213 0.0737 0.1058  1 Pu 2.45
Hg 0.1759 0.4259 0.7500  7 Ce 3.12-3.49

## Properties
total energy	-6.394	eV/atom
M_tot	0.00	μB per cell

=====

# 2
Ce2PuHg | PBE | relaxed

Lattice parameters (Å, degrees): 3.6765 3.6765 7.8289 90.00 90.00 90.00
With the nearest neighbours (Å) after each atom.
Element x y z (fractional)
Hg 0.5000 0.5000 0.0000  8 Ce 3.30, 4 Hg 3.68
Ce 0.0000 0.0000 0.2589  4 Pu 3.21, 4 Hg 3.30
Ce 0.0000 0.0000 0.7411  4 Pu 3.21, 4 Hg 3.30
Pu 0.5000 0.5000 0.5000  8 Ce 3.21

## Properties
M_tot	7.09	μB per cell
distance to the lowest polymorph of the same formula	0.043	eV per atom

=====

# 3
Ce12Pu2Hg5 | PBE | relaxed

Lattice parameters (Å, degrees): 7.0501 9.2294 9.2294 69.13 70.81 70.81
With the nearest neighbours (Å) after each atom.
Element x y z (fractional)
Ce 0.6551 0.9126 0.3230  1 Pu 2.50
Pu 0.0000 0.7202 0.2798  6 Ce 2.46-2.71
Ce 0.3449 0.6770 0.0874  1 Pu 2.50
Hg 0.5000 0.0000 0.0000  6 Ce 3.02-3.25, 2 Hg 3.24
Ce 0.2197 0.4472 0.4472  2 Pu 2.71, 1 Ce 2.86
Ce 0.9676 0.9193 0.9193  1 Ce 2.67
Ce 0.8777 0.5838 0.1557  1 Pu 2.46
Ce 0.6551 0.3230 0.9126  1 Pu 2.50
Ce 0.0324 0.0807 0.0807  1 Ce 2.67
Ce 0.7803 0.5528 0.5528  2 Pu 2.71, 1 Ce 2.86
Hg 0.3391 0.7098 0.7098  6 Ce 3.07-3.40, 1 Hg 3.35
Hg 0.7480 0.7689 0.7689  6 Ce 3.20-3.46, 2 Hg 3.24-3.35
Ce 0.1223 0.4162 0.8443  1 Pu 2.46
Ce 0.8777 0.1557 0.5838  1 Pu 2.46
Ce 0.3449 0.0874 0.6770  1 Pu 2.50
Ce 0.1223 0.8443 0.4162  1 Pu 2.46
Hg 0.2520 0.2311 0.2311  6 Ce 3.20-3.46, 2 Hg 3.24-3.35
Pu 0.0000 0.2798 0.7202  6 Ce 2.46-2.71
Hg 0.6609 0.2902 0.2902  6 Ce 3.07-3.40, 1 Hg 3.35

## Properties
total energy	-5.476	eV/atom
M_tot	0.00	μB per cell

=====

- What is the formula in the second record?
  Ce2PuHg